# 1
Density functional theory data (PBE) for a relaxed CsGaSi2Tc crystal.

The structure belongs to space group P4/mmm (No. 123); the cell edges are 4.776, 4.776 and 5.020 Å and the angles 90.00°, 90.00° and 90.00°. The distinct sites, in fractional coordinates, are Cs at (0.000, 0.000, 0.000), Ga at (0.500, 0.500, 0.000), Si at (0.000, 0.500, 0.500) and Tc at (0.500, 0.500, 0.500).

The density of states at the Fermi level comes out at 1.13 states/eV per cell. Its formation energy without anion corrections is 0.05 eV/atom. The energy is -4.965 eV per atom.

***

# 2
Density functional theory data (PBE) for a relaxed Cs2GaSiTc crystal.

The structure belongs to space group P4/mmm (No. 123); the cell edges are 7.223, 7.223 and 4.526 Å and the angles 90.00°, 90.00° and 90.00°. The distinct sites, in fractional coordinates, are Cs at (0.000, 0.500, 0.000), Ga at (0.000, 0.000, 0.000), Si at (0.000, 0.000, 0.500) and Tc at (0.500, 0.500, 0.500).

The density of states at the Fermi level comes out at 10.59 states/eV per cell. Its formation energy without anion corrections is 1.24 eV/atom. The energy is -2.862 eV per atom.

***

# 3
Density functional theory data (PBE) for a relaxed CsGa2SiTc crystal.

The structure belongs to space group P4/mmm (No. 123); the cell edges are 5.038, 5.038 and 4.761 Å and the angles 90.00°, 90.00° and 90.00°. The distinct sites, in fractional coordinates, are Cs at (0.000, 0.000, 0.000), Ga at (0.000, 0.500, 0.500), Si at (0.500, 0.500, 0.000) and Tc at (0.500, 0.500, 0.500).

The density of states at the Fermi level comes out at 0.74 states/eV per cell. Its formation energy without anion corrections is -0.09 eV/atom. The energy is -4.632 eV per atom.

***

# 4
Density functional theory data (PBE) for a relaxed Cs2GaSiW crystal.

The structure belongs to space group P4/mmm (No. 123); the cell edges are 7.139, 7.139 and 5.021 Å and the angles 90.00°, 90.00° and 90.00°. The distinct sites, in fractional coordinates, are Cs at (0.000, 0.500, 0.000), Ga at (0.000, 0.000, 0.000), Si at (0.500, 0.500, 0.500) and W at (0.000, 0.000, 0.500).

The density of states at the Fermi level comes out at 3.34 states/eV per cell. Its formation energy without anion corrections is 1.55 eV/atom. The energy is -3.068 eV per atom.

***

# 5
Density functional theory data (PBE) for a relaxed Cs2GaSn crystal.

The structure belongs to space group I-42d (No. 122); the cell edges are 5.168, 5.168 and 26.295 Å and the angles 90.00°, 90.00° and 90.00°. The distinct sites, in fractional coordinates, are Cs at (0.242, 0.250, 0.125), Ga at (0.000, 0.000, 0.000) and Sn at (0.000, 0.000, 0.500).

The density of states at the Fermi level comes out at 12.98 states/eV per cell. For the calculated formation energy, the calculation gives 9.4 kcal/mol of atoms. The energy is -1.776 eV per atom.

***

# 6
Density functional theory data (PBE) for a relaxed CsGaSn crystal.

The structure belongs to space group Pnma (No. 62); the cell edges are 12.260, 4.312 and 10.108 Å and the angles 90.00°, 90.00° and 90.00°. The distinct sites, in fractional coordinates, are Cs at (0.181, 0.250, 0.075), Ga at (0.041, 0.250, 0.719) and Sn at (0.074, 0.250, 0.447).

The density of states at the Fermi level comes out at 1.29 states/eV per cell. For the calculated formation energy, the calculation gives -1.9 kcal/mol of atoms. The energy is -2.709 eV per atom.

***

# 7
Density functional theory data (PBE) for a relaxed CsGaSn crystal.

The structure belongs to space group C2/m (No. 12); the cell edges are 16.198, 4.198 and 8.024 Å and the angles 90.00°, 119.61° and 90.00°. The distinct sites, in fractional coordinates, are Cs at (0.170, 0.000, 0.171), Ga at (0.107, 0.000, 0.606) and Sn at (0.001, 0.500, 0.684).

The density of states at the Fermi level comes out at 3.15 states/eV per cell. For the calculated formation energy, the calculation gives -4.1 kcal/mol of atoms. The energy is -2.804 eV per atom.

***

# 8
Density functional theory data (PBE) for a relaxed CsGaSn2 crystal.

The structure belongs to space group P4/mmm (No. 123); the cell edges are 3.862, 3.862 and 8.568 Å and the angles 90.00°, 90.00° and 90.00°. The distinct sites, in fractional coordinates, are Cs at (0.000, 0.000, 0.000), Ga at (0.000, 0.000, 0.500) and Sn at (0.500, 0.500, 0.330).

The density of states at the Fermi level comes out at 1.32 states/eV per cell. For the calculated formation energy, the calculation gives -2.3 kcal/mol of atoms. The energy is -3.072 eV per atom.